DFT (PBE-GGA) results for BiRuO2F after structural relaxation.

a b c (Å): 4.4172 4.4172 4.4279
angles (deg): 90.00 90.00 90.00
Fractional coordinates of all 5 atoms:
Bi1 0.0000 0.0000 0.0000
Ru1 0.5000 0.5000 0.5000
O1 0.0000 0.5000 0.0000
O2 0.5000 0.0000 0.0000
F1 0.0000 0.0000 0.5000

## Properties
Uncorrected formation energy (eV per atom): -0.100



DFT (PBE-GGA) results for RbTl2Pt after structural relaxation.

a b c (Å): 9.5066 9.5066 9.5066
angles (deg): 139.87 139.87 58.06
Fractional coordinates of all 8 atoms:
Rb1 0.0000 0.0000 0.0000
Rb2 0.7500 0.2500 0.5000
Tl1 0.3462 0.6250 0.2212
Tl2 0.3750 0.5962 0.7212
Tl3 0.4038 0.1250 0.7788
Tl4 0.8750 0.6538 0.2788
Pt1 0.2500 0.7500 0.5000
Pt2 0.5000 0.5000 0.0000



| no. | DFT total energy (eV/cell) | Fermi-level density of states (states/eV/cell) |
| --- | --- | --- |
| 1 | -25.44 | 5.1 |
| 2 | -23.43 | 4.9 |